A plane-wave DFT calculation with PBE+U was carried out for a relaxed SmCoB5O10 crystal.

abc: 8.572 7.574 12.376
angles: 90.00 130.50 90.00
Space group P2_1/c (No. 14)
Symmetry-distinct sites (fractional):
Sm 0.054 0.183 0.235
Co 0.467 0.592 0.871
B 0.088 0.674 0.607
B 0.155 0.595 0.999
B 0.273 0.034 0.053
B 0.348 0.577 0.261
B 0.481 0.188 0.913
O 0.025 0.723 0.985
O 0.092 0.109 0.915
O 0.116 0.547 0.879
O 0.205 0.715 0.237
O 0.225 0.522 0.644
O 0.317 0.088 0.806
O 0.317 0.533 0.131
O 0.322 0.627 0.509
O 0.426 0.151 0.429
O 0.448 0.151 0.133

For the magnetic moment, the calculation gives 0.176 μB/atom. The value obtained for the uncorrected energy is -7.927 eV per atom.